Record 1
## MgSi2NiO6 (PBE+U)

Data for a relaxed MgSi2NiO6 crystal.

The energy above the most stable polymorph in this dataset comes out at 12 meV/atom. Its symmetry is C2/c, No. 15.

Cell lengths 5.278, 6.638, 6.638 Å; angles 85.32, 76.33, 76.33 degrees
Site moments in Bohr magnetons follow the coordinates.
Element x y z (fractional)
O: 0.648 0.790 0.969  0.05
O: 0.633 0.132 0.621  0.03
O: 0.852 0.031 0.210  0.05
O: 0.867 0.379 0.868  0.03
O: 0.352 0.210 0.031  0.05
O: 0.005 0.677 0.615  0.00
O: 0.133 0.621 0.132  0.03
O: 0.495 0.385 0.323  0.00
O: 0.367 0.868 0.379  0.03
O: 0.148 0.969 0.790  0.05
O: 0.505 0.615 0.677  0.00
O: 0.995 0.323 0.385  0.00
Si: 0.747 0.209 0.387  0.00
Si: 0.253 0.791 0.613  0.00
Si: 0.247 0.387 0.209  0.00
Si: 0.753 0.613 0.791  0.00
Ni: 0.250 0.903 0.097  1.79
Ni: 0.750 0.097 0.903  1.79
Mg: 0.750 0.753 0.247  0.00
Mg: 0.250 0.247 0.753  0.00


Record 2
## SrMg30NiO32 (PBE+U)

Data for a relaxed SrMg30NiO32 crystal.

For the total energy, the calculation gives -5.91 eV per atom. Its symmetry is P4/mmm, No. 123.

Cell lengths 8.591, 8.591, 8.595 Å; angles 90.00, 90.00, 90.00 degrees
Site moments in Bohr magnetons follow the coordinates.
Element x y z (fractional)
O: 0.250 0.250 0.750  0.00
O: 0.250 0.250 0.250  0.00
O: 0.000 0.751 0.500  0.00
O: 0.000 0.500 0.253  0.00
O: 0.500 0.754 0.500  0.00
O: 0.230 0.500 0.000  0.00
O: 0.000 0.000 0.252  0.04
O: 0.750 0.250 0.750  0.00
O: 0.247 0.000 0.000  0.03
O: 0.500 0.500 0.270  0.00
O: 0.500 0.500 0.730  0.00
O: 0.751 0.000 0.500  0.00
O: 0.754 0.500 0.500  0.00
O: 0.500 0.000 0.747  0.00
O: 0.000 0.249 0.500  0.00
O: 0.750 0.750 0.250  0.00
O: 0.500 0.000 0.253  0.00
O: 0.750 0.250 0.250  0.00
O: 0.250 0.750 0.250  0.00
O: 0.500 0.770 0.000  0.00
O: 0.000 0.753 0.000  0.03
O: 0.753 0.000 0.000  0.03
O: 0.500 0.230 0.000  0.00
O: 0.770 0.500 0.000  0.00
O: 0.000 0.247 0.000  0.03
O: 0.250 0.750 0.750  0.00
O: 0.000 0.500 0.747  0.00
O: 0.750 0.750 0.750  0.00
O: 0.249 0.000 0.500  0.00
O: 0.246 0.500 0.500  0.00
O: 0.000 0.000 0.748  0.04
O: 0.500 0.246 0.500  0.00
Mg: 0.249 0.249 0.500  0.00
Mg: 0.000 0.249 0.250  0.00
Mg: 0.751 0.000 0.250  0.00
Mg: 0.000 0.000 0.500  0.00
Mg: 0.500 0.000 0.000  0.00
Mg: 0.245 0.500 0.255  0.00
Mg: 0.756 0.756 0.000  0.00
Mg: 0.245 0.500 0.745  0.00
Mg: 0.755 0.500 0.255  0.00
Mg: 0.000 0.500 0.500  0.00
Mg: 0.756 0.244 0.000  0.00
Mg: 0.500 0.245 0.745  0.00
Mg: 0.249 0.000 0.250  0.00
Mg: 0.751 0.751 0.500  0.00
Mg: 0.500 0.245 0.255  0.00
Mg: 0.500 0.500 0.500  0.00
Mg: 0.249 0.751 0.500  0.00
Mg: 0.000 0.751 0.750  0.00
Mg: 0.244 0.244 0.000  0.00
Mg: 0.000 0.751 0.250  0.00
Mg: 0.249 0.000 0.750  0.00
Mg: 0.244 0.756 0.000  0.00
Mg: 0.755 0.500 0.745  0.00
Mg: 0.500 0.000 0.500  0.00
Mg: 0.000 0.500 0.000  0.00
Mg: 0.751 0.249 0.500  0.00
Mg: 0.500 0.755 0.255  0.00
Mg: 0.000 0.249 0.750  0.00
Mg: 0.751 0.000 0.750  0.00
Mg: 0.500 0.755 0.745  0.00
Sr: 0.500 0.500 0.000  0.00
Ni: 0.000 0.000 0.000  1.75


Record 3
## Mg2Ta2Ni2O9 (PBE+U)

Data for a relaxed Mg2Ta2Ni2O9 crystal.

For the total energy, the calculation gives -7.48 eV per atom. Its symmetry is P-3c1, No. 165.

Cell lengths 5.195, 5.195, 14.096 Å; angles 90.00, 90.00, 120.00 degrees
Site moments in Bohr magnetons follow the coordinates.
Element x y z (fractional)
O: 0.321 0.974 0.084  0.05
O: 0.288 0.288 0.250  0.00
O: 0.000 0.288 0.750  0.00
O: 0.288 0.000 0.750  0.00
O: 0.026 0.347 0.084  0.05
O: 0.712 0.712 0.750  0.00
O: 0.974 0.653 0.916  0.05
O: 0.347 0.321 0.916  0.05
O: 0.974 0.321 0.416  0.05
O: 0.653 0.679 0.084  0.05
O: 0.679 0.026 0.916  0.05
O: 0.679 0.653 0.416  0.05
O: 0.000 0.712 0.250  0.00
O: 0.026 0.679 0.584  0.05
O: 0.321 0.347 0.584  0.05
O: 0.653 0.974 0.584  0.05
O: 0.347 0.026 0.416  0.05
O: 0.712 0.000 0.250  0.00
Mg: 0.667 0.333 0.309  0.00
Mg: 0.667 0.333 0.809  0.00
Mg: 0.333 0.667 0.191  0.00
Mg: 0.333 0.667 0.691  0.00
Ta: 0.000 0.000 0.142  0.04
Ta: 0.000 0.000 0.358  0.04
Ta: 0.000 0.000 0.858  0.04
Ta: 0.000 0.000 0.642  0.04
Ni: 0.667 0.333 0.513  1.78
Ni: 0.333 0.667 0.487  1.78
Ni: 0.333 0.667 0.987  1.78
Ni: 0.667 0.333 0.013  1.78